Record 1
The following is a DFT calculation (GGA-PBE) of an optimized crystal structure of V3ZnAu.

Computed properties:
Relative energy among the computed polymorphs ... 273.2 meV/atom
ΔE_f ... 7.25 eV per formula unit

Cell lengths 4.9390, 4.9390, 4.9390 Å; angles 90.00, 90.00, 90.00 degrees
Positions (direct):
V 0.0000 0.0000 0.5000
V 0.0000 0.5000 0.0000
V 0.5000 0.0000 0.0000
Zn 0.5000 0.5000 0.5000
Au 0.0000 0.0000 0.0000

=====

Record 2
The following is a DFT calculation (GGA-PBE) of an optimized crystal structure of VZn2Au.

Computed properties:
ΔE_f ... 0.13 eV per formula unit

Cell lengths 4.6508, 4.9462, 5.3648 Å; angles 92.02, 93.54, 90.55 degrees
Positions (direct):
V 0.2222 0.0023 0.4955
V 0.7778 0.9977 0.5045
Zn 0.0000 0.5000 0.5000
Zn 0.0103 0.2430 0.9465
Zn 0.5000 0.0000 0.0000
Zn 0.9897 0.7570 0.0535
Au 0.4691 0.4732 0.2483
Au 0.5309 0.5268 0.7517

=====

Number 1: DOS(E_F) 2.800 states/eV per atom. Number 2: DOS(E_F) 0.509 states/eV per atom.